# 1
An optimized crystal structure of Ta2TcSnSe. Source: Alexandria via LeMat-Bulk, functional PBE.

The calculation puts the density of states at the Fermi level at 7.0 states/eV/cell. The value obtained for the formation energy from raw total energies is 2.099 eV per atom. Its final energy is -6.212 eV/atom. The value obtained for the magnetization is 0.00 μB/cell.

It has space group P4/mmm (No. 123), with a = 5.0670 Å, b = 5.0670 Å, c = 4.8413 Å, α = 90.00°, β = 90.00° and γ = 90.00°. The inequivalent atoms are Ta at (0.0000, 0.5000, 0.0000), Tc at (0.0000, 0.0000, 0.5000), Sn at (0.0000, 0.0000, 0.0000) and Se at (0.5000, 0.5000, 0.5000).

=====

# 2
An optimized crystal structure of Ca2CuCl6. Source: Alexandria via LeMat-Bulk, functional PBE.

The value obtained for the formation energy from raw total energies is -1.724 eV per atom. Its final energy is -3.855 eV/atom. For the energy above the most stable polymorph in this dataset, the calculation gives 0 meV/atom. The value obtained for the magnetization is 1.96 μB/cell.

It has space group P2_1/c (No. 14), with a = 6.5375 Å, b = 7.1613 Å, c = 11.0459 Å, α = 90.00°, β = 116.91° and γ = 90.00°. The inequivalent atoms are Ca at (0.1666, 0.1140, 0.2226), Cu at (0.5000, 0.0000, 0.0000), Cl at (0.1651, 0.1614, 0.9549), Cl at (0.2044, 0.6623, 0.8973) and Cl at (0.4530, 0.0686, 0.7860).